A plane-wave DFT calculation with PBE was carried out for a relaxed ScZn2Fe crystal.

Lattice parameters (Å, degrees): 2.961 2.961 7.130 90.00 90.00 90.00
Element x y z (fractional)
Sc: 0.000 0.000 0.000
Zn: 0.000 0.000 0.530
Zn: 0.500 0.500 0.298
Fe: 0.500 0.500 0.740

Results
Its total energy is -4.40 eV per atom. As for the size of the total moment: 2.1 μB per formula unit. As for the density of states at the Fermi level: 3.2 states/eV per cell. The value obtained for the volume is 62.5 Å³ per cell. Its formation energy is -0.0643 eV/atom.

A plane-wave DFT calculation with PBE was carried out for a relaxed Hg2OsPb crystal.

Lattice parameters (Å, degrees): 5.068 5.068 3.314 90.00 90.00 90.00
Element x y z (fractional)
Hg: 0.000 0.500 0.000
Hg: 0.500 0.000 0.000
Os: 0.000 0.000 0.500
Pb: 0.500 0.500 0.500

Results
Its total energy is -2.95 eV per atom. As for the size of the total moment: 0.0 μB per formula unit. As for the density of states at the Fermi level: 2.8 states/eV per cell. The value obtained for the volume is 85.1 Å³ per cell. Its formation energy is 0.9309 eV/atom.

A plane-wave DFT calculation with PBE was carried out for a relaxed ReRhCl crystal.

Lattice parameters (Å, degrees): 2.823 5.008 13.442 90.00 90.00 90.00
Element x y z (fractional)
Re: 0.000 0.000 0.000
Re: 0.000 0.500 0.500
Re: 0.500 0.000 0.500
Re: 0.500 0.500 0.000
Rh: 0.000 0.000 0.340
Rh: 0.000 0.500 0.840
Rh: 0.500 0.000 0.840
Rh: 0.500 0.500 0.340
Cl: 0.000 0.000 0.657
Cl: 0.000 0.500 0.157
Cl: 0.500 0.000 0.157
Cl: 0.500 0.500 0.657

Results
Its total energy is -6.69 eV per atom. The excess energy over the best structure of this formula in the dataset comes out at 229.2 meV/atom. As for the size of the total moment: 0.3 μB per formula unit. As for the density of states at the Fermi level: 11.0 states/eV per cell. The value obtained for the volume is 190.0 Å³ per cell.

A plane-wave DFT calculation with PBE was carried out for a relaxed Sc2Be2VFe5 crystal.

Lattice parameters (Å, degrees): 8.937 8.937 3.063 90.00 90.00 90.00
Element x y z (fractional)
Sc: 0.171 0.329 0.000
Sc: 0.329 0.829 0.000
Sc: 0.671 0.171 0.000
Sc: 0.829 0.671 0.000
Be: 0.123 0.623 0.000
Be: 0.377 0.123 0.000
Be: 0.623 0.877 0.000
Be: 0.877 0.377 0.000
V: 0.000 0.000 0.000
V: 0.500 0.500 0.000
Fe: 0.000 0.500 0.500
Fe: 0.066 0.797 0.500
Fe: 0.203 0.066 0.500
Fe: 0.297 0.566 0.500
Fe: 0.434 0.297 0.500
Fe: 0.500 0.000 0.500
Fe: 0.566 0.703 0.500
Fe: 0.703 0.434 0.500
Fe: 0.797 0.934 0.500
Fe: 0.934 0.203 0.500

Results
Its total energy is -7.29 eV per atom. As for the size of the total moment: 5.0 μB per formula unit. As for the density of states at the Fermi level: 17.9 states/eV per cell. The value obtained for the volume is 244.6 Å³ per cell. Its formation energy is -0.1372 eV/atom.

A plane-wave DFT calculation with PBE was carried out for a relaxed LaScNi2Au crystal.

Lattice parameters (Å, degrees): 4.899 4.899 4.817 90.00 90.00 90.00
Element x y z (fractional)
La: 0.000 0.000 0.000
Sc: 0.500 0.500 0.000
Ni: 0.000 0.500 0.500
Ni: 0.500 0.000 0.500
Au: 0.500 0.500 0.500

Results
Its total energy is -4.94 eV per atom. As for the size of the total moment: 0.6 μB per formula unit. As for the density of states at the Fermi level: 6.6 states/eV per cell. The value obtained for the volume is 115.6 Å³ per cell. Its formation energy is 0.2783 eV/atom.

A plane-wave DFT calculation with PBE was carried out for a relaxed Ac8IrOs3Cl4 crystal.

Lattice parameters (Å, degrees): 9.346 9.346 9.346 55.28 55.28 55.28
Element x y z (fractional)
Ac: 0.230 0.736 0.736
Ac: 0.234 0.234 0.234
Ac: 0.264 0.264 0.770
Ac: 0.264 0.770 0.264
Ac: 0.736 0.230 0.736
Ac: 0.736 0.736 0.230
Ac: 0.766 0.766 0.766
Ac: 0.770 0.264 0.264
Ir: 0.500 0.500 0.500
Os: 0.000 0.000 0.500
Os: 0.000 0.500 0.000
Os: 0.500 0.000 0.000
Cl: 0.000 0.000 0.000
Cl: 0.000 0.500 0.500
Cl: 0.500 0.000 0.500
Cl: 0.500 0.500 0.000

Results
Its total energy is -6.09 eV per atom. As for the size of the total moment: 0.0 μB per formula unit. As for the density of states at the Fermi level: 9.9 states/eV per cell. The value obtained for the volume is 513.8 Å³ per cell.